[1]
Density functional theory data (SCAN) for a PBEsol-optimized structure of KLa2Os.

Cell and atoms, written as CIF:
```
data_KLa2Os
_chemical_formula_sum 'K2 La4 Os2'
_symmetry_space_group_name_H-M 'I m m m'
_symmetry_Int_Tables_number 71
_symmetry_space_group_name_Hall '-I 2 2'
_cell_length_a 4.0218
_cell_length_b 6.4297
_cell_length_c 9.8583
_cell_angle_alpha 90.00
_cell_angle_beta 90.00
_cell_angle_gamma 90.00
loop_
_atom_site_label
_atom_site_type_symbol
_atom_site_fract_x
_atom_site_fract_y
_atom_site_fract_z
K1 K 0.0000 0.0000 0.0000
La1 La 0.0000 0.5000 0.1845
Os1 Os 0.0000 0.0000 0.5000
```

Computed properties:
Energy above the most stable polymorph in this dataset in eV/atom: 0.305
Density of states at the Fermi level in states/eV per atom: 0.587

---

[2]
Density functional theory data (SCAN) for a PBEsol-optimized structure of KLaOs3.

Cell and atoms, written as CIF:
```
data_KLaOs3
_chemical_formula_sum 'K1 La1 Os3'
_symmetry_space_group_name_H-M 'P m -3 m'
_symmetry_Int_Tables_number 221
_symmetry_space_group_name_Hall '-P 4 2 3'
_cell_length_a 4.9683
_cell_length_b 4.9683
_cell_length_c 4.9683
_cell_angle_alpha 90.00
_cell_angle_beta 90.00
_cell_angle_gamma 90.00
loop_
_atom_site_label
_atom_site_type_symbol
_atom_site_fract_x
_atom_site_fract_y
_atom_site_fract_z
K1 K 0.0000 0.0000 0.0000
La1 La 0.5000 0.5000 0.5000
Os1 Os 0.0000 0.5000 0.5000
```

Computed properties:
DFT total energy in eV for the cell shown: -253.77
Density of states at the Fermi level in states/eV per atom: 1.007

---

[3]
Density functional theory data (SCAN) for a PBEsol-optimized structure of KLa2Os.

Cell and atoms, written as CIF:
```
data_KLa2Os
_chemical_formula_sum 'K2 La4 Os2'
_symmetry_space_group_name_H-M 'C 1 2/m 1'
_symmetry_Int_Tables_number 12
_symmetry_space_group_name_Hall '-C 2y'
_cell_length_a 7.2936
_cell_length_b 4.2083
_cell_length_c 10.5993
_cell_angle_alpha 90.00
_cell_angle_beta 103.11
_cell_angle_gamma 90.00
loop_
_atom_site_label
_atom_site_type_symbol
_atom_site_fract_x
_atom_site_fract_y
_atom_site_fract_z
K1 K 0.0000 0.0000 0.0000
La1 La 0.2124 0.0000 0.6391
Os1 Os 0.0000 0.5000 0.5000
```

Computed properties:
Energy above the most stable polymorph in this dataset in eV/atom: 0.000
Density of states at the Fermi level in states/eV per atom: 0.590